! PBE Sc2ReNi, relaxed; values from VASP
! Theoretical density ... 8.1 g/cm³
! Volume ... 69 Å³ per cell
! Size of the total moment ... 0.0 Bohr magnetons per cell
! Formation energy from the elements ... 0.062 eV/atom
! Space-group type ... Pmm2
! Crystal system ... orthorhombic
&SYSTEM
  ibrav = 0, nat = 4, ntyp = 3
/
ATOMIC_SPECIES
Sc 44.96 Sc.upf
Re 186.21 Re.upf
Ni 58.69 Ni.upf
CELL_PARAMETERS angstrom
2.848 0.000 0.000
0.000 4.403 0.000
0.000 0.000 5.487
ATOMIC_POSITIONS crystal
Sc 0.000 0.000 0.000
Sc 0.500 0.500 0.336
Re 0.500 0.500 0.823
Ni 0.000 0.000 0.515

! PBE Sc2ReNi, relaxed; values from VASP
! Theoretical density ... 8.5 g/cm³
! Volume ... 66 Å³ per cell
! Size of the total moment ... 0.8 Bohr magnetons per cell
! Formation energy from the elements ... 0.139 eV/atom
! Space-group type ... F-43m
! Crystal system ... cubic
&SYSTEM
  ibrav = 0, nat = 4, ntyp = 3
/
ATOMIC_SPECIES
Sc 44.96 Sc.upf
Re 186.21 Re.upf
Ni 58.69 Ni.upf
CELL_PARAMETERS angstrom
0.000 3.201 3.201
3.201 0.000 3.201
3.201 3.201 0.000
ATOMIC_POSITIONS crystal
Sc 0.000 0.000 0.000
Sc 0.250 0.250 0.250
Re 0.500 0.500 0.500
Ni 0.750 0.750 0.750

! PBE ScReNi2, relaxed; values from VASP
! Theoretical density ... 10.3 g/cm³
! Offset from the most stable computed form ... 34.1 meV/atom
! Volume ... 56 Å³ per cell
! Size of the total moment ... 0.0 Bohr magnetons per cell
! Formation energy from the elements ... -0.103 eV/atom
! Space-group type ... P2/m
! Crystal system ... monoclinic
&SYSTEM
  ibrav = 0, nat = 4, ntyp = 3
/
ATOMIC_SPECIES
Sc 44.96 Sc.upf
Re 186.21 Re.upf
Ni 58.69 Ni.upf
CELL_PARAMETERS angstrom
2.703 0.000 0.000
0.000 3.782 0.000
-0.041 0.000 5.487
ATOMIC_POSITIONS crystal
Sc 0.000 0.000 0.000
Re 0.000 0.000 0.500
Ni 0.500 0.500 0.275
Ni 0.500 0.500 0.725

! PBE ScReNi2, relaxed; values from VASP
! Theoretical density ... 10.3 g/cm³
! Offset from the most stable computed form ... 116.9 meV/atom
! Volume ... 56 Å³ per cell
! Size of the total moment ... 0.0 Bohr magnetons per cell
! Formation energy from the elements ... -0.020 eV/atom
! Space-group type ... Imm2
! Crystal system ... orthorhombic
&SYSTEM
  ibrav = 0, nat = 4, ntyp = 3
/
ATOMIC_SPECIES
Sc 44.96 Sc.upf
Re 186.21 Re.upf
Ni 58.69 Ni.upf
CELL_PARAMETERS angstrom
-1.379 2.220 4.594
1.379 -2.220 4.594
1.379 2.220 -4.594
ATOMIC_POSITIONS crystal
Sc 0.000 0.000 0.000
Re 0.277 0.777 0.500
Ni 0.513 0.513 0.000
Ni 0.736 0.236 0.500